Record 1
Density functional theory data (GGA-PBE) for a relaxed structure of ZrIN3.

Cell lengths 4.029, 4.029, 4.029 Å; angles 90.00, 90.00, 90.00 degrees
Sites, in units of the cell vectors:
Zr1 0.000 0.000 0.000
I1 0.500 0.500 0.500
N1 0.000 0.500 0.500
N2 0.500 0.000 0.500
N3 0.500 0.500 0.000

Computed properties:
crystal system	cubic
uncorrected formation energy	1.417	eV per atom


Record 2
Density functional theory data (GGA-PBE) for a relaxed structure of ZrI2N.

Cell lengths 5.052, 5.052, 5.052 Å; angles 60.00, 60.00, 60.00 degrees
Sites, in units of the cell vectors:
Zr1 0.000 0.000 0.000
I1 0.250 0.250 0.250
I2 0.750 0.750 0.750
N1 0.500 0.500 0.500

Computed properties:
crystal system	cubic
uncorrected formation energy	0.792	eV per atom
E above lowest polymorph	0.000	eV per atom


Record 3
Density functional theory data (GGA-PBE) for a relaxed structure of ZrI3N.

Cell lengths 4.959, 4.959, 4.959 Å; angles 90.00, 90.00, 90.00 degrees
Sites, in units of the cell vectors:
Zr1 0.000 0.000 0.000
I1 0.000 0.500 0.500
I2 0.500 0.000 0.500
I3 0.500 0.500 0.000
N1 0.500 0.500 0.500

Computed properties:
crystal system	cubic
uncorrected formation energy	0.999	eV per atom
E above lowest polymorph	0.516	eV per atom


Record 4
Density functional theory data (GGA-PBE) for a relaxed structure of ZrIN3.

Cell lengths 4.290, 4.290, 4.290 Å; angles 90.00, 90.00, 90.00 degrees
Sites, in units of the cell vectors:
Zr1 0.000 0.000 0.000
I1 0.500 0.500 0.500
N1 0.000 0.000 0.500
N2 0.000 0.500 0.000
N3 0.500 0.000 0.000

Computed properties:
crystal system	cubic
uncorrected formation energy	1.130	eV per atom


Q: The highest uncorrected formation energy belongs to which entry?
A: number 1


What did the first record say?
Density functional theory data (GGA-PBE) for a relaxed structure of ZrIN3.

Cell lengths 4.029, 4.029, 4.029 Å; angles 90.00, 90.00, 90.00 degrees
Sites, in units of the cell vectors:
Zr1 0.000 0.000 0.000
I1 0.500 0.500 0.500
N1 0.000 0.500 0.500
N2 0.500 0.000 0.500
N3 0.500 0.500 0.000

Computed properties:
crystal system	cubic
uncorrected formation energy	1.417	eV per atom


Q: The lowest uncorrected formation energy belongs to which entry?
A: ZrI2N